# Ac2Pm4Er7, relaxed, DFT PBE
# * mass density: 8.184 Mg/m³
# * electronic total energy: -4.343 eV/atom
# * energy relative to the elements: 208 meV/atom
data_Ac2Pm4Er7
_cell_length_a 6.2037
_cell_length_b 6.2037
_cell_length_c 13.4225
_cell_angle_alpha 90.00
_cell_angle_beta 90.00
_cell_angle_gamma 120.00
_symmetry_space_group_name_H-M 'P -3 1 m'
_symmetry_Int_Tables_number 162
_symmetry_space_group_name_Hall '-P 3 2'
loop_
_atom_site_label
_atom_site_type_symbol
_atom_site_fract_x
_atom_site_fract_y
_atom_site_fract_z
Ac1 Ac 0.3333 0.6667 0.0000
Pm1 Pm 0.0000 0.0000 0.3940
Pm2 Pm 0.3333 0.6667 0.5000
Er1 Er 0.0000 0.0000 0.0000
Er2 Er 0.0000 0.3537 0.2176

# YErTc, relaxed, DFT PBE
# * polymorph energy (0 for the lowest one): 98 meV per atom
# * mass density: 7.499 Mg/m³
# * electronic total energy: -7.081 eV/atom
# * energy relative to the elements: 50 meV/atom
data_YErTc
_cell_length_a 6.6853
_cell_length_b 12.1305
_cell_length_c 7.7365
_cell_angle_alpha 90.00
_cell_angle_beta 90.00
_cell_angle_gamma 90.00
_symmetry_space_group_name_H-M 'C m c e'
_symmetry_Int_Tables_number 64
_symmetry_space_group_name_Hall '-C 2ac 2'
loop_
_atom_site_label
_atom_site_type_symbol
_atom_site_fract_x
_atom_site_fract_y
_atom_site_fract_z
Y1 Y 0.0000 0.1922 0.1097
Er1 Er 0.2500 0.0491 0.7500
Tc1 Tc 0.0000 0.0975 0.4574